Na12Sn3F5: optimized geometry, GGA-PBE.

Uncorrected energy (eV per atom): -3.11
Uncorrected formation energy (eV/atom): -1.254
Total moment (μB/cell): 7.82

```
data_Na12Sn3F5
_chemical_formula_sum 'Na96 Sn24 F40'
_cell_length_a 15.6806
_cell_length_b 15.6806
_cell_length_c 15.6806
_cell_angle_alpha 90.00
_cell_angle_beta 90.00
_cell_angle_gamma 90.00
_symmetry_space_group_name_H-M 'I a -3 d'
_symmetry_Int_Tables_number 230
_symmetry_space_group_name_Hall '-I 4bd 2c 3'
loop_
_atom_site_label
_atom_site_type_symbol
_atom_site_fract_x
_atom_site_fract_y
_atom_site_fract_z
_atom_site_occupancy
Na1 Na 0.0386 0.0476 0.6464 1
Sn1 Sn 0.0000 0.2500 0.1250 1
F1 F 0.0000 0.0000 0.0000 1
F2 F 0.0000 0.2500 0.3750 1
```